[1]
First-principles (GGA-PBE) data for crystalline In2SiNi at its relaxed geometry, as listed in Alexandria via LeMat-Bulk.

Cell: 3.057 3.057 7.853 Å, 90.00 90.00 90.02°
Element x y z (fractional)
Ni1 0.500 0.500 0.250
Si1 0.500 0.500 0.750
In1 0.000 0.000 0.466
In2 0.000 0.000 0.034

Results
Raw formation energy ... 94 kJ/mol of formula units
Space group ... P4/mmm

***

[2]
First-principles (GGA-PBE) data for crystalline Dy5Sb2Ru at its relaxed geometry, as listed in Alexandria via LeMat-Bulk.

Cell: 5.764 5.414 16.102 Å, 90.00 90.00 122.17°
Element x y z (fractional)
Ru1 0.604 0.209 0.750
Ru2 0.396 0.791 0.250
Sb1 0.787 0.574 0.057
Sb2 0.213 0.426 0.557
Sb3 0.213 0.426 0.943
Sb4 0.787 0.574 0.443
Dy1 0.107 0.214 0.359
Dy2 0.441 0.883 0.095
Dy3 0.559 0.117 0.905
Dy4 0.441 0.883 0.405
Dy5 0.756 0.512 0.250
Dy6 0.893 0.786 0.641
Dy7 0.559 0.117 0.595
Dy8 0.244 0.488 0.750
Dy9 0.893 0.786 0.859
Dy10 0.107 0.214 0.141

Results
Raw formation energy ... -329 kJ/mol of formula units
Space group ... Cmcm

***

[3]
First-principles (GGA-PBE) data for crystalline TePdI2O at its relaxed geometry, as listed in Alexandria via LeMat-Bulk.

Cell: 6.013 6.013 4.016 Å, 90.00 90.00 90.00°
Last column: magnetic moment on the atom in μB.
Element x y z (fractional)
Te1 0.000 0.000 0.000  0.01
Pd1 0.500 0.500 0.500  -0.35
O1 0.000 0.000 0.500  0.01
I1 0.500 0.000 0.000  -0.03
I2 0.000 0.500 0.000  -0.03

Results
Excess energy over the best structure of this formula in the dataset ... 2.9 meV per atom
Raw formation energy ... 95 kJ/mol of formula units
Space group ... P4/mmm

***

[4]
First-principles (GGA-PBE) data for crystalline AgIN3 at its relaxed geometry, as listed in Alexandria via LeMat-Bulk.

Cell: 4.042 4.042 4.042 Å, 90.00 90.00 90.00°
Last column: magnetic moment on the atom in μB.
Element x y z (fractional)
I1 0.000 0.000 0.000  -0.02
N1 0.000 0.000 0.500  0.25
N2 0.000 0.500 0.000  0.33
N3 0.500 0.000 0.000  0.22
Ag1 0.500 0.500 0.500  0.12

Results
Raw formation energy ... 1150 kJ/mol of formula units
Space group ... Pm-3m

***

[5]
First-principles (GGA-PBE) data for crystalline CaHoPdPt at its relaxed geometry, as listed in Alexandria via LeMat-Bulk.

Cell: 4.924 4.924 4.924 Å, 60.00 60.00 60.00°
Element x y z (fractional)
Ca1 0.500 0.500 0.500
Ho1 0.000 0.000 0.000
Pt1 0.750 0.750 0.750
Pd1 0.250 0.250 0.250

Results
Excess energy over the best structure of this formula in the dataset ... 25.0 meV per atom
DFT formation energy ... -0.944 eV per atom
Space group ... F-43m

***

[6]
First-principles (GGA-PBE) data for crystalline Rb4Np3PaS8 at its relaxed geometry, as listed in Alexandria via LeMat-Bulk.

Cell: 8.195 9.048 8.195 Å, 116.93 120.00 90.00°
Last column: magnetic moment on the atom in μB.
Element x y z (fractional)
Rb1 0.000 0.000 0.500  0.01
Rb2 0.500 0.000 0.000  0.01
Rb3 0.000 0.000 0.000  0.01
Rb4 0.500 0.000 0.500  0.01
S1 0.730 0.691 0.460  -0.09
S2 0.772 0.307 0.544  -0.06
S3 0.228 0.693 0.965  -0.06
S4 0.228 0.693 0.456  -0.06
S5 0.736 0.693 0.965  -0.06
S6 0.270 0.309 0.540  -0.09
S7 0.264 0.307 0.035  -0.06
S8 0.772 0.307 0.035  -0.06
Pa1 0.000 0.500 0.000  1.14
Np1 0.500 0.500 0.000  3.99
Np2 0.500 0.500 0.500  3.99
Np3 0.000 0.500 0.500  3.99

Results
Raw formation energy ... -2164 kJ/mol of formula units
Space group ... R-3m

***

[7]
First-principles (GGA-PBE) data for crystalline Ca2CrW at its relaxed geometry, as listed in Alexandria via LeMat-Bulk.

Cell: 4.358 4.358 8.012 Å, 85.74 85.74 42.95°
Last column: magnetic moment on the atom in μB.
Element x y z (fractional)
Cr1 0.512 0.512 0.421  1.93
Ca1 0.768 0.768 0.675  -0.01
Ca2 0.987 0.987 0.074  -0.03
W1 0.234 0.234 0.330  -0.49

Results
Excess energy over the best structure of this formula in the dataset ... 200.1 meV per atom
DFT formation energy ... 0.692 eV per atom
Space group ... Cm

***

[8]
First-principles (GGA-PBE) data for crystalline Ce4OsRuCl2 at its relaxed geometry, as listed in Alexandria via LeMat-Bulk.

Cell: 4.012 6.947 7.752 Å, 107.37 90.00 90.00°
Last column: magnetic moment on the atom in μB.
Element x y z (fractional)
Ce1 0.500 0.235 0.206  0.56
Ce2 0.000 0.265 0.794  0.60
Ce3 0.500 0.765 0.794  0.56
Ce4 0.000 0.735 0.206  0.60
Ru1 0.500 0.500 0.000  -0.13
Cl1 0.000 0.500 0.500  -0.01
Cl2 0.500 0.000 0.500  -0.01
Os1 0.000 0.000 0.000  -0.11

Results
Raw formation energy ... -683 kJ/mol of formula units
Space group ... P2/m

***

[9]
First-principles (GGA-PBE) data for crystalline HfTa3H at its relaxed geometry, as listed in Alexandria via LeMat-Bulk.

Cell: 4.305 4.305 4.305 Å, 90.00 90.00 90.00°
Element x y z (fractional)
Ta1 0.000 0.500 0.000
Ta2 0.000 0.000 0.500
Ta3 0.500 0.000 0.000
Hf1 0.500 0.500 0.500
H1 0.000 0.000 0.000

Results
Excess energy over the best structure of this formula in the dataset ... 0.0 meV per atom
Space group ... Pm-3m

***

[10]
First-principles (GGA-PBE) data for crystalline BeHgW2 at its relaxed geometry, as listed in Alexandria via LeMat-Bulk.

Cell: 5.181 5.181 2.744 Å, 84.01 84.01 118.27°
Element x y z (fractional)
W1 0.500 0.500 0.000
W2 0.000 0.000 0.000
Hg1 0.000 0.500 0.500
Be1 0.500 0.000 0.500

Results
Excess energy over the best structure of this formula in the dataset ... 258.1 meV per atom
DFT formation energy ... 0.701 eV per atom
Space group ... C2/m

***

Values of total moment, in order: 0.0, 0.0, 0.4, 1.2, 0.0, 14.0, 1.3, 2.5, 0.0, 0.0, all in Bohr magnetons per cell.
Values of VASP energy, in order: -3.93, -5.49, -3.08, -3.49, -5.40, -6.73, -5.95, -6.88, -9.65, -6.78, all in eV/atom.